Entry 1:
Material: La2P4PdPt3
Method: DFT, PBE
State: optimized geometry

abc: 4.3544 4.3544 9.5909
angles: 90.00 90.00 90.00
With the nearest neighbours (Å) after each atom.
Element x y z (fractional)
La: 0.0000 0.5000 0.2474  8 P 3.22-3.29, 7 Pt 3.26-3.46, 2 Pd 3.26
La: 0.5000 0.0000 0.7526  8 P 3.22-3.29, 7 Pt 3.26-3.46, 2 Pd 3.26
P: 0.0000 0.0000 0.0000  4 Pt 2.43
P: 0.0000 0.5000 0.6330  3 Pt 2.43-2.52, 2 Pd 2.52
P: 0.5000 0.0000 0.3670  3 Pt 2.43-2.52, 2 Pd 2.52
P: 0.5000 0.5000 0.0000  4 Pt 2.43
Pd: 0.0000 0.0000 0.5000  4 P 2.52
Pt: 0.0000 0.5000 0.8866  5 P 2.43
Pt: 0.5000 0.0000 0.1134  5 P 2.43
Pt: 0.5000 0.5000 0.5000  4 P 2.52

Summary:
V	182	Å³/cell
spin magnetization	0.0	μB/f.u.
space group	P-4m2



Entry 2:
Material: Rb2LaPPd
Method: DFT, PBE
State: optimized geometry

abc: 7.0563 7.0563 5.0012
angles: 90.00 90.00 90.00
With the nearest neighbours (Å) after each atom.
Element x y z (fractional)
Rb: 0.0000 0.5000 0.0000  2 La 3.53
Rb: 0.5000 0.0000 0.0000  2 La 3.53
La: 0.0000 0.0000 0.0000  2 Pd 2.50
P: 0.5000 0.5000 0.5000  8 Rb 4.32
Pd: 0.0000 0.0000 0.5000  2 La 2.50

Summary:
V	249	Å³/cell
spin magnetization	0.2	μB/f.u.
space group	P4/mmm



Entry 3:
Material: LaPPdRh2
Method: DFT, PBE
State: optimized geometry

abc: 4.5155 4.5155 4.6765
angles: 90.00 90.00 90.00
With the nearest neighbours (Å) after each atom.
Element x y z (fractional)
La: 0.0000 0.0000 0.0000  4 Pd 3.19, 8 Rh 3.25
P: 0.5000 0.5000 0.5000  4 Rh 2.26, 2 Pd 2.34
Pd: 0.5000 0.5000 0.0000  2 P 2.34
Rh: 0.0000 0.5000 0.5000  2 P 2.26
Rh: 0.5000 0.0000 0.5000  2 P 2.26

Summary:
V	95	Å³/cell
spin magnetization	0.0	μB/f.u.
space group	P4/mmm



Entry 4:
Material: La2P3PdRh12
Method: DFT, PBE
State: optimized geometry

abc: 6.9384 6.9384 6.9384
angles: 76.55 76.55 76.55
With the nearest neighbours (Å) after each atom.
Element x y z (fractional)
La: 0.1108 0.1108 0.1108  3 Rh 2.60
La: 0.8892 0.8892 0.8892  3 Rh 2.60
P: 0.0000 0.5000 0.5000  6 Rh 2.21-2.33
P: 0.5000 0.0000 0.5000  6 Rh 2.21-2.33
P: 0.5000 0.5000 0.0000  6 Rh 2.21-2.33
Pd: 0.5000 0.5000 0.5000  6 Rh 2.58
Rh: 0.1395 0.6577 0.6577  1 P 2.21
Rh: 0.1685 0.1685 0.5828  2 P 2.33
Rh: 0.1685 0.5828 0.1685  2 P 2.33
Rh: 0.3423 0.3423 0.8605  1 P 2.21
Rh: 0.3423 0.8605 0.3423  1 P 2.21
Rh: 0.4172 0.8315 0.8315  2 P 2.33
Rh: 0.5828 0.1685 0.1685  2 P 2.33
Rh: 0.6577 0.1395 0.6577  1 P 2.21
Rh: 0.6577 0.6577 0.1395  1 P 2.21
Rh: 0.8315 0.4172 0.8315  2 P 2.33
Rh: 0.8315 0.8315 0.4172  2 P 2.33
Rh: 0.8605 0.3423 0.3423  1 P 2.21

Summary:
V	310	Å³/cell
spin magnetization	0.0	μB/f.u.
space group	R-3m



Entry 5:
Material: La2P3PdRh4
Method: DFT, PBE
State: optimized geometry

abc: 4.0324 4.0324 10.8178
angles: 90.00 90.00 90.00
With the nearest neighbours (Å) after each atom.
Element x y z (fractional)
La: 0.0000 0.5000 0.2371  4 Rh 2.95, 6 P 3.23-3.26, 2 Pd 3.26
La: 0.5000 0.0000 0.7629  4 Rh 2.95, 6 P 3.23-3.26, 2 Pd 3.26
P: 0.0000 0.0000 0.0000  4 Rh 2.72, 4 Pd 2.85
P: 0.0000 0.5000 0.6221  5 Rh 2.27-2.41
P: 0.5000 0.0000 0.3779  5 Rh 2.27-2.41
Pd: 0.5000 0.5000 0.0000  4 Rh 2.72, 4 P 2.85
Rh: 0.0000 0.0000 0.5000  4 P 2.41
Rh: 0.0000 0.5000 0.8319  1 P 2.27
Rh: 0.5000 0.0000 0.1681  1 P 2.27
Rh: 0.5000 0.5000 0.5000  4 P 2.41

Summary:
V	176	Å³/cell
spin magnetization	0.0	μB/f.u.
space group	P-4m2



Entry 6:
Material: La2P4Pd3Rh
Method: DFT, PBE
State: optimized geometry

abc: 4.3224 4.3224 9.5986
angles: 90.00 90.00 90.00
With the nearest neighbours (Å) after each atom.
Element x y z (fractional)
La: 0.0000 0.5000 0.2445  8 P 3.19-3.29, 2 Rh 3.27, 7 Pd 3.27-3.47
La: 0.5000 0.0000 0.7555  8 P 3.19-3.29, 2 Rh 3.27, 7 Pd 3.27-3.47
P: 0.0000 0.0000 0.0000  4 Pd 2.44
P: 0.0000 0.5000 0.6284  3 Pd 2.44-2.49, 2 Rh 2.49
P: 0.5000 0.0000 0.3716  3 Pd 2.44-2.49, 2 Rh 2.49
P: 0.5000 0.5000 0.0000  4 Pd 2.44
Pd: 0.0000 0.5000 0.8830  5 P 2.44
Pd: 0.5000 0.0000 0.1170  5 P 2.44
Pd: 0.5000 0.5000 0.5000  4 P 2.49
Rh: 0.0000 0.0000 0.5000  4 P 2.49

Summary:
V	179	Å³/cell
spin magnetization	0.0	μB/f.u.
space group	P-4m2



no.,E (eV/atom),formation enthalpy at 0 K (eV per formula unit)
1,-6.546,-10.65
2,-2.651,4.21
3,-6.739,-3.46
4,-6.836,-3.55
5,-7.036,-9.68
6,-6.438,-9.95